An optimized crystal structure of Ca2ScCr. Source: the Alexandria database, functional GGA-PBE.

abc: 11.1338 11.1338 11.1338
angles: 18.23 18.23 18.23
With the nearest neighbours (Å) after each atom.
Sites, in units of the cell vectors:
1 Ca 0.5060 0.5060 0.5060  3 Cr 3.26, 6 Ca 3.53, 3 Sc 3.57
2 Ca 0.9940 0.9940 0.9940  3 Cr 3.26, 6 Ca 3.53, 3 Sc 3.57
3 Cr 0.2500 0.2500 0.2500  6 Ca 3.26, 6 Cr 3.53
4 Sc 0.7500 0.7500 0.7500  6 Sc 3.53, 6 Ca 3.57

Summary:
Energy of formation: 225 kJ/mol of formula units
Energy: -17.6 eV per cell
Symmetry: R-3m (166)
E above lowest polymorph: 286 meV/atom